[1]
This record from Alexandria via LeMat-Bulk describes crystalline Dy6C2I3N at its relaxed geometry. The functional is PBE.

POSCAR file:
```
Dy6C2I3N
1.0
3.237 -5.607 0.000
3.237 5.607 0.000
-2.158 0.000 7.394
Dy C I N
6 2 3 1
direct
0.056 0.387 0.167
0.276 0.276 0.833
0.387 0.056 0.167
0.613 0.944 0.833
0.724 0.724 0.167
0.944 0.613 0.833
0.333 0.667 0.000
0.667 0.333 0.000
0.167 0.833 0.500
0.500 0.500 0.500
0.833 0.167 0.500
0.000 0.000 0.000
```

Summary:
D(E_F) (states/eV/atom): 0.352
Calculated volume (Å³/atom): 22.37
Energy (eV/atom): -5.827
Formation energy without anion corrections (eV/atom): -0.907

---

[2]
This record from Alexandria via LeMat-Bulk describes crystalline NdDyCI at its relaxed geometry. The functional is PBE.

POSCAR file:
```
NdDyCI
1.0
1.909 1.102 7.613
-1.909 1.102 7.613
0.000 -2.204 7.613
Nd Dy C I
1 1 1 1
direct
0.000 0.000 0.000
0.218 0.218 0.218
0.603 0.603 0.603
0.780 0.780 0.780
```

Summary:
D(E_F) (states/eV/atom): 0.560
Calculated volume (Å³/atom): 24.03
Energy (eV/atom): -5.754
Formation energy without anion corrections (eV/atom): -0.718

---

Among the records above, which one has the highest formation energy without anion corrections? NdDyCI